Density functional theory data (PBE) for crystalline HgIrCS2 at its relaxed geometry.

Properties
Its total energy is -4.075 eV per atom. Its uncorrected formation energy is 1253.8 meV per atom. The value obtained for the density is 9.4 g cm⁻³. The crystal system is tetragonal. The value obtained for the total moment is 0.0 μB per cell. The calculation puts the density of states at the Fermi level at 6.1 states/eV/f.u. Its space group is P4/mmm (123).

abc: 4.605 4.605 3.908
angles: 90.00 90.00 90.00
Fractional positions:
1 Hg 0.000 0.000 0.000
2 Ir 0.500 0.500 0.000
3 C 0.500 0.500 0.500
4 S 0.000 0.500 0.500
5 S 0.500 0.000 0.500

Density functional theory data (PBE) for crystalline Mg2In2Rh at its relaxed geometry.

Properties
The calculation puts the offset from the most stable computed form at 8 meV per atom. Its total energy is -3.438 eV per atom. The value obtained for the density is 5.8 g cm⁻³. The crystal system is tetragonal. The value obtained for the total moment is 0.0 μB per cell. The calculation puts the density of states at the Fermi level at 2.3 states/eV/f.u. Its space group is I4_1/amd (141). As for the formation energy from the elements: -1.17 eV/f.u.

abc: 11.220 11.220 11.220
angles: 156.85 156.85 32.97
Fractional positions:
1 Mg 0.056 0.306 0.750
2 Mg 0.306 0.056 0.250
3 Mg 0.694 0.944 0.750
4 Mg 0.944 0.694 0.250
5 In 0.197 0.447 0.750
6 In 0.447 0.197 0.250
7 In 0.553 0.803 0.750
8 In 0.803 0.553 0.250
9 Rh 0.375 0.625 0.750
10 Rh 0.625 0.375 0.250

Density functional theory data (PBE) for crystalline SrTl2HgH at its relaxed geometry.

Properties
Its total energy is -2.164 eV per atom. The value obtained for the density is 9.2 g cm⁻³. The crystal system is tetragonal. The value obtained for the total moment is 0.0 μB per cell. The calculation puts the density of states at the Fermi level at 1.9 states/eV/f.u. Its space group is P4/mmm (123).

abc: 5.176 5.176 4.695
angles: 90.00 90.00 90.00
Fractional positions:
1 Sr 0.000 0.000 0.000
2 Tl 0.000 0.500 0.500
3 Tl 0.500 0.000 0.500
4 Hg 0.500 0.500 0.000
5 H 0.000 0.000 0.500

Density functional theory data (PBE) for crystalline ReNi2MoAs at its relaxed geometry.

Properties
Its total energy is -6.541 eV per atom. The value obtained for the density is 8.3 g cm⁻³. The crystal system is tetragonal. The value obtained for the total moment is 3.5 μB per cell. The calculation puts the density of states at the Fermi level at 4.7 states/eV/f.u. Its space group is P4/mmm (123). As for the formation energy from the elements: 6.78 eV/f.u.

abc: 4.533 4.533 4.639
angles: 90.00 90.00 90.00
Fractional positions:
1 Re 0.000 0.000 0.000
2 Ni 0.000 0.500 0.000
3 Ni 0.500 0.000 0.000
4 Mo 0.500 0.500 0.500
5 As 0.000 0.000 0.500

Look up the density of the second one.
5.8 g cm⁻³